VASP calculation (PBE) on an optimized crystal structure of SbRu2Cl.

Cell: 6.4062 6.4062 6.4062 Å, 90.00 90.00 90.00°
Space group Fm-3m (No. 225)
One atom of each set of equivalent atoms:
Sb (0.0000, 0.0000, 0.0000) (multiplicity 4)
Ru (0.2500, 0.2500, 0.2500) (multiplicity 8)
Cl (0.0000, 0.0000, 0.5000) (multiplicity 4)

Properties
**Size of the total moment**: 0.0000 μB/atom
**E above lowest polymorph**: 396 meV/atom
**E**: -0.207 hartree per atom
**ΔE_f (raw)**: 0.507 eV per atom

VASP calculation (PBE) on an optimized crystal structure of Sb2RuCl.

Cell: 7.7422 7.5349 3.1844 Å, 90.00 108.23 90.00°
Space group C2/m (No. 12)
One atom of each set of equivalent atoms:
Sb (0.2500, 0.2500, 0.0000) (multiplicity 4)
Ru (0.0000, 0.0000, 0.0000) (multiplicity 2)
Cl (0.0000, 0.5000, 0.0000) (multiplicity 2)

Properties
**Size of the total moment**: 0.0000 μB/atom
**E above lowest polymorph**: 361 meV/atom
**E**: -0.171 hartree per atom
**ΔE_f (raw)**: 0.181 eV per atom

VASP calculation (PBE) on an optimized crystal structure of Sb2RuCl.

Cell: 3.2653 3.2653 7.9829 Å, 90.00 90.00 90.00°
Space group P4/mmm (No. 123)
One atom of each set of equivalent atoms:
Sb (0.0000, 0.0000, 0.2092) (multiplicity 2)
Ru (0.5000, 0.5000, 0.0000) (multiplicity 1)
Cl (0.5000, 0.5000, 0.5000) (multiplicity 1)

Properties
**Size of the total moment**: 0.0206 μB/atom
**E above lowest polymorph**: 43 meV/atom
**E**: -0.183 hartree per atom
**ΔE_f (raw)**: -0.137 eV per atom

VASP calculation (PBE) on an optimized crystal structure of SbRu2Cl.

Cell: 3.1436 5.4842 8.2509 Å, 90.00 90.00 90.00°
Space group Cmmm (No. 65)
One atom of each set of equivalent atoms:
Sb (0.0000, 0.0000, 0.0000) (multiplicity 2)
Ru (0.0000, 0.5000, 0.2459) (multiplicity 4)
Cl (0.0000, 0.0000, 0.5000) (multiplicity 2)

Properties
**Size of the total moment**: 0.0021 μB/atom
**E above lowest polymorph**: 457 meV/atom
**E**: -0.204 hartree per atom
**ΔE_f (raw)**: 0.568 eV per atom

VASP calculation (PBE) on an optimized crystal structure of Sb2RuCl.

Cell: 4.1873 4.1873 4.9190 Å, 90.00 90.00 90.00°
Space group P4/mmm (No. 123)
One atom of each set of equivalent atoms:
Sb (0.0000, 0.5000, 0.0000) (multiplicity 2)
Ru (0.0000, 0.0000, 0.5000) (multiplicity 1)
Cl (0.5000, 0.5000, 0.5000) (multiplicity 1)

Properties
**Size of the total moment**: 0.1929 μB/atom
**E above lowest polymorph**: 862 meV/atom
**E**: -0.153 hartree per atom
**ΔE_f (raw)**: 0.683 eV per atom

VASP calculation (PBE) on an optimized crystal structure of Sb2RuCl.

Cell: 16.1554 3.2095 4.1821 Å, 90.00 104.18 90.00°
Space group Cm (No. 8)
One atom of each set of equivalent atoms:
Sb (0.0000, 0.0000, 0.0000) (multiplicity 2)
Sb (0.1826, 0.0000, 0.6731) (multiplicity 2)
Ru (0.1341, 0.5000, 0.1272) (multiplicity 2)
Cl (0.4106, 0.0000, 0.4149) (multiplicity 2)

Properties
**Size of the total moment**: 0.0000 μB/atom
**E above lowest polymorph**: 143 meV/atom
**E**: -0.179 hartree per atom
**ΔE_f (raw)**: -0.037 eV per atom

VASP calculation (PBE) on an optimized crystal structure of SbRu2Cl.

Cell: 4.5076 4.5076 15.1224 Å, 90.00 90.00 90.00°
Space group I-42d (No. 122)
One atom of each set of equivalent atoms:
Sb (0.0000, 0.0000, 0.0000) (multiplicity 4)
Ru (0.1716, 0.2500, 0.6250) (multiplicity 8)
Cl (0.0000, 0.0000, 0.5000) (multiplicity 4)

Properties
**Size of the total moment**: 0.0000 μB/atom
**E above lowest polymorph**: 361 meV/atom
**E**: -0.208 hartree per atom
**ΔE_f (raw)**: 0.473 eV per atom

VASP calculation (PBE) on an optimized crystal structure of SbRu2Cl.

Cell: 3.1945 3.1945 6.7358 Å, 90.00 90.00 90.00°
Space group P4/mmm (No. 123)
One atom of each set of equivalent atoms:
Sb (0.0000, 0.0000, 0.0000) (multiplicity 1)
Ru (0.5000, 0.5000, 0.2191) (multiplicity 2)
Cl (0.0000, 0.0000, 0.5000) (multiplicity 1)

Properties
**Size of the total moment**: 0.0001 μB/atom
**E above lowest polymorph**: 300 meV/atom
**E**: -0.210 hartree per atom
**ΔE_f (raw)**: 0.411 eV per atom